# PBE TeIr3, relaxed
data_TeIr3
_chemical_formula_sum 'Te4 Ir12'
_cell_length_a 6.434
_cell_length_b 6.434
_cell_length_c 6.434
_cell_angle_alpha 90.00
_cell_angle_beta 90.00
_cell_angle_gamma 90.00
_space_group_name_H-M_alt 'F m -3 m'
_space_group_IT_number 225
_space_group_name_Hall '-F 4 2 3'
loop_
_atom_site_label
_atom_site_fract_x
_atom_site_fract_y
_atom_site_fract_z
Te1 0.000 0.000 0.000
Ir1 0.000 0.000 0.500
Ir2 0.250 0.250 0.250
# Fermi-level density of states: 30.1 states/eV per cell
# Formation energy without anion corrections: 0.6539 eV per atom
# Uncorrected energy: -6.777 eV/atom

***

# PBE TeIr3, relaxed
data_TeIr3
_chemical_formula_sum 'Te1 Ir3'
_cell_length_a 2.8975
_cell_length_b 2.8975
_cell_length_c 9.2124
_cell_angle_alpha 90.00
_cell_angle_beta 90.00
_cell_angle_gamma 120.00
_space_group_name_H-M_alt 'P -6 m 2'
_space_group_IT_number 187
_space_group_name_Hall 'P -6 2'
loop_
_atom_site_label
_atom_site_fract_x
_atom_site_fract_y
_atom_site_fract_z
Te1 0.0000 0.0000 0.0000
Ir1 0.0000 0.0000 0.5000
Ir2 0.3333 0.6667 0.2673
# Fermi-level density of states: 4.5 states/eV per cell
# Formation energy without anion corrections: 0.6071 eV per atom
# Uncorrected energy: -6.824 eV/atom

***

# PBE TeIr3, relaxed
data_TeIr3
_chemical_formula_sum 'Te4 Ir12'
_cell_length_a 5.6881
_cell_length_b 5.6881
_cell_length_c 9.3152
_cell_angle_alpha 90.00
_cell_angle_beta 90.00
_cell_angle_gamma 120.00
_space_group_name_H-M_alt 'P 63/m m c'
_space_group_IT_number 194
_space_group_name_Hall '-P 6c 2c'
loop_
_atom_site_label
_atom_site_fract_x
_atom_site_fract_y
_atom_site_fract_z
Te1 0.0000 0.0000 0.0000
Te2 0.3333 0.6667 0.2500
Ir1 0.0000 0.5000 0.0000
Ir2 0.1747 0.3494 0.7500
# Fermi-level density of states: 12.5 states/eV per cell
# Formation energy without anion corrections: 0.4321 eV per atom
# Uncorrected energy: -6.999 eV/atom

***

# PBE TeIr5, relaxed
data_TeIr5
_chemical_formula_sum 'Te2 Ir10'
_cell_length_a 10.039
_cell_length_b 2.831
_cell_length_c 7.314
_cell_angle_alpha 90.00
_cell_angle_beta 112.41
_cell_angle_gamma 90.00
_space_group_name_H-M_alt 'C 1 m 1'
_space_group_IT_number 8
_space_group_name_Hall 'C -2y'
loop_
_atom_site_label
_atom_site_fract_x
_atom_site_fract_y
_atom_site_fract_z
Te1 0.000 0.000 0.000
Ir1 0.006 0.000 0.592
Ir2 0.098 0.500 0.347
Ir3 0.214 0.500 0.921
Ir4 0.294 0.000 0.652
Ir5 0.313 0.000 0.281
# Offset from the most stable computed form: 0.28 eV/f.u.
# Fermi-level density of states: 12.6 states/eV per cell
# Formation energy without anion corrections: 0.3564 eV per atom
# Uncorrected energy: -7.551 eV/atom

***

What did the fourth record say?
# PBE TeIr5, relaxed
data_TeIr5
_chemical_formula_sum 'Te2 Ir10'
_cell_length_a 10.039
_cell_length_b 2.831
_cell_length_c 7.314
_cell_angle_alpha 90.00
_cell_angle_beta 112.41
_cell_angle_gamma 90.00
_space_group_name_H-M_alt 'C 1 m 1'
_space_group_IT_number 8
_space_group_name_Hall 'C -2y'
loop_
_atom_site_label
_atom_site_fract_x
_atom_site_fract_y
_atom_site_fract_z
Te1 0.000 0.000 0.000
Ir1 0.006 0.000 0.592
Ir2 0.098 0.500 0.347
Ir3 0.214 0.500 0.921
Ir4 0.294 0.000 0.652
Ir5 0.313 0.000 0.281
# Offset from the most stable computed form: 0.28 eV/f.u.
# Fermi-level density of states: 12.6 states/eV per cell
# Formation energy without anion corrections: 0.3564 eV per atom
# Uncorrected energy: -7.551 eV/atom